FeReBO GGA+U optimized geometry; DOS(E_F) = 3.58 states/eV per cell; energy = -7.71 eV/atom; total magnetization = 0.780 μB/atom; polymorph energy (0 for the lowest one) = 1.51 kJ per mole of atoms; V = 11.32 Å³/atom
1.0
-1.211 -0.012 -2.814
-1.620 -2.199 0.707
-7.512 6.563 3.205
Re B Fe O
2 2 2 2
Cartesian
-7.492 6.546 3.197 Re
-4.546 2.165 1.948 Re
-3.773 2.762 -0.055 B
-8.339 4.944 1.901 B
-6.381 5.040 1.057 Fe
-3.434 0.658 -0.192 Fe
-4.840 4.229 2.065 O
-1.894 -0.153 0.816 O